Density functional theory data (SCAN) for SnS16I4 at its PBEsol-relaxed geometry.

abc: 11.275 12.043 11.960
angles: 102.75 118.12 62.09
Fractional positions:
S (0.641, 0.304, 0.020)
S (0.728, 0.811, 0.993)
I (0.239, 0.792, 0.997)
S (0.823, 0.481, 0.188)
S (0.267, 0.161, 0.357)
S (0.470, 0.989, 0.197)
S (0.209, 0.511, 0.697)
S (0.545, 0.189, 0.007)
Sn (0.001, 0.000, 0.000)
S (0.289, 0.689, 0.493)
S (0.071, 0.839, 0.643)
I (0.513, 0.496, 0.290)
S (0.485, 0.857, 0.659)
S (0.024, 0.489, 0.303)
S (0.695, 0.196, 0.520)
Sn (0.751, 0.500, 0.500)
S (0.116, 0.519, 0.812)
S (0.072, 0.794, 0.467)
S (0.576, 0.357, 0.841)
S (0.399, 0.206, 0.533)
S (0.054, 0.019, 0.688)
S (0.371, 0.804, 0.480)
I (0.992, 0.292, 0.503)
S (0.683, 0.143, 0.341)
S (0.660, 0.661, 0.143)
S (0.616, 0.706, 0.967)
I (0.781, 0.708, 0.497)
I (0.759, 0.004, 0.790)
S (0.385, 0.981, 0.312)
S (0.131, 0.468, 0.196)
S (0.685, 0.968, 0.304)
S (0.355, 0.294, 0.033)
S (0.262, 0.011, 0.803)
S (0.925, 0.696, 0.980)
S (0.402, 0.532, 0.804)
I (0.034, 0.208, 0.003)
S (0.178, 0.339, 0.857)
I (0.974, 0.996, 0.210)
I (0.719, 0.504, 0.710)
S (0.349, 0.032, 0.696)
S (0.485, 0.311, 0.507)
S (0.092, 0.643, 0.159)

The uncorrected formation energy comes out at -0.079 eV per atom. Its volume is 1265.52 Å³ per cell. Its total energy is -16.12 eV/atom.

***

Density functional theory data (SCAN) for MoRuRh2 at its PBEsol-relaxed geometry.

abc: 2.701 4.305 4.730
angles: 90.00 90.00 90.00
Fractional positions:
Rh (0.000, 0.500, 0.705)
Ru (0.500, 0.000, 0.543)
Rh (0.000, 0.000, 0.037)
Mo (0.500, 0.500, 0.216)

For the formation energy, the calculation gives -0.17 eV per atom. The value obtained for the offset from the most stable computed form is 0.000 eV/atom. Its volume is 55.00 Å³ per cell. Its total energy is -34.48 eV/atom.

***

Density functional theory data (SCAN) for Cr3Re at its PBEsol-relaxed geometry.

abc: 2.549 2.549 8.021
angles: 90.00 90.00 110.38
Fractional positions:
Cr (0.000, 0.000, 0.763)
Cr (0.500, 0.500, 0.000)
Re (0.500, 0.500, 0.500)
Cr (0.000, 0.000, 0.237)

For the formation energy, the calculation gives 0.05 eV per atom. Its volume is 48.87 Å³ per cell. Its total energy is -31.51 eV/atom.

***

Density functional theory data (SCAN) for SrTe2Pb at its PBEsol-relaxed geometry.

abc: 4.388 4.833 6.614
angles: 90.01 109.38 90.00
Fractional positions:
Sr (0.733, 0.875, 0.467)
Te (0.262, 0.375, 0.524)
Pb (0.497, 0.375, 0.994)
Te (0.008, 0.875, 0.015)

The uncorrected formation energy comes out at -1.102 eV per atom. Its volume is 132.32 Å³ per cell. Its total energy is -44.24 eV/atom.

***

Density functional theory data (SCAN) for SrZrAs2 at its PBEsol-relaxed geometry.

abc: 3.414 3.543 7.345
angles: 90.00 96.84 90.00
Fractional positions:
Sr (0.500, 0.500, 0.000)
As (0.014, 0.000, 0.289)
As (0.986, 0.000, 0.711)
Zr (0.500, 0.500, 0.500)

For the formation energy, the calculation gives -0.95 eV per atom. The value obtained for the offset from the most stable computed form is 0.361 eV/atom. Its volume is 88.22 Å³ per cell. Its total energy is -24.29 eV/atom.

***

Density functional theory data (SCAN) for CrCo2Se at its PBEsol-relaxed geometry.

abc: 3.583 3.583 4.408
angles: 113.98 113.98 90.00
Fractional positions:
Co (0.250, 0.750, 0.500)
Co (0.750, 0.250, 0.500)
Se (0.000, 0.000, 0.000)
Cr (0.500, 0.500, 0.000)

The uncorrected formation energy comes out at 0.326 eV per atom. Its volume is 46.31 Å³ per cell. Its total energy is -17.94 eV/atom.

***

Density functional theory data (SCAN) for Tb5Ir3 at its PBEsol-relaxed geometry.

abc: 6.153 8.221 8.221
angles: 120.00 90.00 90.00
Fractional positions:
Ir (0.250, 0.000, 0.391)
Tb (0.250, 0.258, 0.258)
Tb (0.000, 0.667, 0.333)
Ir (0.750, 0.391, 0.391)
Ir (0.250, 0.609, 0.609)
Tb (0.750, 0.742, 0.742)
Ir (0.250, 0.391, 0.000)
Tb (0.500, 0.667, 0.333)
Tb (0.500, 0.333, 0.667)
Tb (0.750, 0.000, 0.258)
Tb (0.250, 0.000, 0.742)
Tb (0.250, 0.742, 0.000)
Ir (0.750, 0.000, 0.609)
Tb (0.750, 0.258, 0.000)
Tb (0.000, 0.333, 0.667)
Ir (0.750, 0.609, 0.000)

For the formation energy, the calculation gives -0.91 eV per atom. The value obtained for the offset from the most stable computed form is 0.062 eV/atom. Its volume is 360.14 Å³ per cell. Its total energy is -56.80 eV/atom.

***

Density functional theory data (SCAN) for Ca2ZnHg at its PBEsol-relaxed geometry.

abc: 3.608 5.216 5.930
angles: 109.34 107.71 90.00
Fractional positions:
Ca (0.772, 0.295, 0.543)
Ca (0.975, 0.951, 0.951)
Hg (0.529, 0.496, 0.059)
Zn (0.224, 0.758, 0.447)

For the formation energy, the calculation gives -0.40 eV per atom. The value obtained for the offset from the most stable computed form is 0.110 eV/atom. Its volume is 99.67 Å³ per cell. Its total energy is -25.65 eV/atom.

***

Density functional theory data (SCAN) for Li2V3O4F4 at its PBEsol-relaxed geometry.

abc: 2.861 4.975 9.673
angles: 91.17 90.00 90.00
Fractional positions:
V (0.000, 0.968, 0.145)
O (0.000, 0.315, 0.465)
V (0.500, 0.469, 0.352)
F (0.500, 0.763, 0.048)
Li (0.000, 0.945, 0.453)
O (0.000, 0.693, 0.280)
Li (0.500, 0.025, 0.861)
O (0.500, 0.725, 0.527)
F (0.500, 0.333, 0.719)
F (0.000, 0.166, 0.980)
F (0.000, 0.816, 0.771)
V (0.000, 0.548, 0.628)
O (0.500, 0.172, 0.229)

The uncorrected formation energy comes out at -2.866 eV per atom. Its volume is 137.64 Å³ per cell. Its total energy is -10.28 eV/atom.

***

Density functional theory data (SCAN) for BaTl2Cu at its PBEsol-relaxed geometry.

abc: 5.323 5.323 5.323
angles: 60.00 60.00 60.00
Fractional positions:
Ba (0.000, 0.000, 0.000)
Tl (0.750, 0.750, 0.750)
Cu (0.500, 0.500, 0.500)
Tl (0.250, 0.250, 0.250)

For the formation energy, the calculation gives 0.03 eV per atom. Its volume is 106.67 Å³ per cell. Its total energy is -49.84 eV/atom.

***

Density functional theory data (SCAN) for CoAuN2F at its PBEsol-relaxed geometry.

abc: 3.769 3.769 4.951
angles: 90.00 90.00 90.00
Fractional positions:
F (0.000, 0.000, 0.500)
N (0.500, 0.000, 0.000)
Co (0.500, 0.500, 0.500)
Au (0.000, 0.000, 0.000)
N (0.000, 0.500, 0.000)

The uncorrected formation energy comes out at 1.363 eV per atom. Its volume is 70.32 Å³ per cell. Its total energy is -20.35 eV/atom.

***

Density functional theory data (SCAN) for ZnS at its PBEsol-relaxed geometry.

abc: 3.785 3.785 55.749
angles: 88.05 88.05 60.00
Fractional positions:
S (0.125, 0.125, 0.625)
S (0.977, 0.977, 0.070)
Zn (0.648, 0.648, 0.056)
Zn (0.056, 0.056, 0.833)
S (0.366, 0.366, 0.903)
Zn (0.407, 0.407, 0.778)
S (0.884, 0.884, 0.347)
S (0.014, 0.014, 0.958)
Zn (0.796, 0.796, 0.611)
Zn (0.481, 0.481, 0.556)
S (0.662, 0.662, 0.014)
Zn (0.759, 0.759, 0.722)
Zn (0.278, 0.278, 0.167)
Zn (0.167, 0.167, 0.500)
S (0.292, 0.292, 0.125)
Zn (0.222, 0.222, 0.333)
Zn (0.352, 0.352, 0.944)
S (0.718, 0.718, 0.847)
S (0.069, 0.069, 0.792)
Zn (0.111, 0.111, 0.667)
Zn (0.704, 0.704, 0.889)
S (0.495, 0.495, 0.514)
Zn (0.963, 0.963, 0.111)
Zn (0.519, 0.519, 0.444)
Zn (0.870, 0.870, 0.389)
S (0.940, 0.940, 0.181)
S (0.532, 0.532, 0.403)
Zn (0.000, 0.000, 0.000)
S (0.773, 0.773, 0.681)
S (0.810, 0.810, 0.569)
S (0.236, 0.236, 0.292)
Zn (0.574, 0.574, 0.278)
S (0.421, 0.421, 0.736)
Zn (0.926, 0.926, 0.222)
S (0.588, 0.588, 0.236)
S (0.181, 0.181, 0.458)

The uncorrected formation energy comes out at -0.941 eV per atom. Its volume is 691.28 Å³ per cell. Its total energy is -12.51 eV/atom.

***

Density functional theory data (SCAN) for P2WSe at its PBEsol-relaxed geometry.

abc: 3.224 4.198 6.095
angles: 101.01 90.00 112.58
Fractional positions:
P (0.967, 0.935, 0.950)
P (0.776, 0.552, 0.155)
Se (0.517, 0.033, 0.567)
W (0.240, 0.480, 0.828)

The uncorrected formation energy comes out at 0.017 eV per atom. Its volume is 74.50 Å³ per cell. Its total energy is -27.62 eV/atom.

***

Density functional theory data (SCAN) for SnGeAu2 at its PBEsol-relaxed geometry.

abc: 4.545 4.545 8.880
angles: 104.83 104.83 90.00
Fractional positions:
Ge (0.750, 0.250, 0.500)
Au (0.419, 0.875, 0.250)
Sn (0.000, 0.000, 0.000)
Au (0.125, 0.169, 0.750)
Sn (0.250, 0.750, 0.500)
Ge (0.500, 0.500, 0.000)
Au (0.831, 0.375, 0.250)
Au (0.625, 0.581, 0.750)

For the formation energy, the calculation gives -0.07 eV per atom. The value obtained for the offset from the most stable computed form is 0.000 eV/atom. Its volume is 171.02 Å³ per cell. Its total energy is -48.40 eV/atom.

***

Density functional theory data (SCAN) for Y2Tc at its PBEsol-relaxed geometry.

abc: 3.501 4.684 4.684
angles: 120.00 90.00 90.00
Fractional positions:
Y (0.731, 0.667, 0.333)
Y (0.269, 0.333, 0.667)
Tc (0.000, 0.000, 0.000)

For the formation energy, the calculation gives 0.16 eV per atom. The value obtained for the offset from the most stable computed form is 0.204 eV/atom. Its volume is 66.53 Å³ per cell. Its total energy is -30.09 eV/atom.

***

Density functional theory data (SCAN) for SiOs2Br at its PBEsol-relaxed geometry.

abc: 2.869 4.178 5.292
angles: 97.31 105.73 90.00
Fractional positions:
Os (0.231, 0.750, 0.463)
Si (0.532, 0.531, 0.064)
Os (0.969, 0.973, 0.939)
Br (0.767, 0.246, 0.534)

The uncorrected formation energy comes out at 0.884 eV per atom. The value obtained for the offset from the most stable computed form is 0.292 eV/atom. Its volume is 60.52 Å³ per cell. Its total energy is -42.42 eV/atom.

***

Density functional theory data (SCAN) for RbNaOsF2 at its PBEsol-relaxed geometry.

abc: 4.472 4.472 5.292
angles: 90.00 90.00 90.00
Fractional positions:
Rb (0.000, 0.000, 0.500)
Os (0.500, 0.500, 0.500)
F (0.500, 0.000, 0.000)
F (0.000, 0.500, 0.000)
Na (0.000, 0.000, 0.000)

The uncorrected formation energy comes out at -0.184 eV per atom. Its volume is 105.85 Å³ per cell. Its total energy is -20.97 eV/atom.

***

Density functional theory data (SCAN) for NaBiPdCl2 at its PBEsol-relaxed geometry.

abc: 4.702 4.702 5.280
angles: 90.00 90.00 90.00
Fractional positions:
Cl (0.000, 0.500, 0.000)
Na (0.000, 0.000, 0.000)
Pd (0.000, 0.000, 0.500)
Bi (0.500, 0.500, 0.500)
Cl (0.500, 0.000, 0.000)

The uncorrected formation energy comes out at -0.106 eV per atom. Its volume is 116.75 Å³ per cell. Its total energy is -26.41 eV/atom.

***

Density functional theory data (SCAN) for ZrZn2Te at its PBEsol-relaxed geometry.

abc: 3.564 3.564 5.977
angles: 90.00 90.01 90.00
Fractional positions:
Te (0.125, 0.500, 0.257)
Zn (0.125, 0.500, 0.775)
Zn (0.625, 0.000, 0.968)
Zr (0.625, 0.000, 0.500)

The uncorrected formation energy comes out at -0.343 eV per atom. Its volume is 75.93 Å³ per cell. Its total energy is -24.09 eV/atom.

***

Density functional theory data (SCAN) for GeSN2O at its PBEsol-relaxed geometry.

abc: 3.551 3.551 5.299
angles: 90.00 90.00 90.00
Fractional positions:
N (0.000, 0.500, 0.000)
O (0.500, 0.500, 0.500)
S (0.000, 0.000, 0.500)
Ge (0.000, 0.000, 0.000)
N (0.500, 0.000, 0.000)

The uncorrected formation energy comes out at 1.686 eV per atom. Its volume is 66.82 Å³ per cell. Its total energy is -9.02 eV/atom.

***

Density functional theory data (SCAN) for NaPBr3 at its PBEsol-relaxed geometry.

abc: 5.213 5.213 5.213
angles: 90.00 90.00 90.00
Fractional positions:
Na (0.000, 0.000, 0.000)
Br (0.500, 0.000, 0.000)
Br (0.000, 0.000, 0.500)
Br (0.000, 0.500, 0.000)
P (0.500, 0.500, 0.500)

The uncorrected formation energy comes out at 0.262 eV per atom. Its volume is 141.67 Å³ per cell. Its total energy is -14.34 eV/atom.

***

Density functional theory data (SCAN) for Zn3CoI at its PBEsol-relaxed geometry.

abc: 4.665 4.665 4.665
angles: 90.00 90.00 90.00
Fractional positions:
I (0.500, 0.500, 0.500)
Zn (0.500, 0.000, 0.000)
Co (0.000, 0.000, 0.000)
Zn (0.000, 0.500, 0.000)
Zn (0.000, 0.000, 0.500)

The uncorrected formation energy comes out at 0.576 eV per atom. Its volume is 101.51 Å³ per cell. Its total energy is -18.34 eV/atom.

***

Density functional theory data (SCAN) for ReCl at its PBEsol-relaxed geometry.

abc: 4.423 4.423 4.425
angles: 60.01 60.01 60.00
Fractional positions:
Cl (0.625, 0.625, 0.125)
Cl (0.375, 0.375, 0.875)
Re (0.875, 0.875, 0.375)
Re (0.125, 0.125, 0.625)

The uncorrected formation energy comes out at 1.372 eV per atom. The value obtained for the offset from the most stable computed form is 1.342 eV/atom. Its volume is 61.23 Å³ per cell. Its total energy is -38.17 eV/atom.

***

Density functional theory data (SCAN) for CaNbNiRh2 at its PBEsol-relaxed geometry.

abc: 4.607 4.607 5.249
angles: 90.00 90.00 90.00
Fractional positions:
Ni (0.500, 0.500, 0.500)
Rh (0.500, 0.000, 0.000)
Ca (0.000, 0.000, 0.500)
Nb (0.000, 0.000, 0.000)
Rh (0.000, 0.500, 0.000)

For the formation energy, the calculation gives 1.29 eV per atom. Its volume is 111.40 Å³ per cell. Its total energy is -24.01 eV/atom.

***

Density functional theory data (SCAN) for BaCaAu at its PBEsol-relaxed geometry.

abc: 3.816 3.816 7.351
angles: 105.04 105.04 90.00
Fractional positions:
Ba (0.636, 0.636, 0.272)
Au (0.986, 0.986, 0.973)
Ca (0.377, 0.377, 0.755)

For the formation energy, the calculation gives -0.63 eV per atom. Its volume is 99.56 Å³ per cell. Its total energy is -40.09 eV/atom.